A relaxed structure of TaCrRe2, computed with GGA-PBE.

```
data_TaCrRe2
_chemical_formula_sum 'Ta2 Cr2 Re4'
_cell_length_a 3.099
_cell_length_b 4.425
_cell_length_c 8.752
_cell_angle_alpha 90.00
_cell_angle_beta 90.00
_cell_angle_gamma 90.00
_symmetry_space_group_name_H-M 'I m m m'
_symmetry_Int_Tables_number 71
_symmetry_space_group_name_Hall '-I 2 2'
loop_
_atom_site_label
_atom_site_type_symbol
_atom_site_fract_x
_atom_site_fract_y
_atom_site_fract_z
_atom_site_occupancy
Ta1 Ta 0.000 0.000 0.000 1
Cr1 Cr 0.000 0.000 0.500 1
Re1 Re 0.000 0.500 0.245 1
```

Results
- E_tot: -93.18 eV for the cell shown
- Total magnetization: 0.0 μB/f.u.
- Mass density: 16.75 g/cm3
- DOS at the Fermi energy: 3.2 states/eV/f.u.
- Crystal system: orthorhombic